No. 1
VASP calculation (PBE-GGA) on a geometry-optimized FeAu3S structure.

a = 4.758 Å, b = 4.758 Å, c = 4.758 Å
α = 90.00°, β = 90.00°, γ = 90.00°
Space group Pm-3m (No. 221)
Asymmetric unit:
Fe (0.000, 0.000, 0.000) (multiplicity 1)
Au (0.000, 0.500, 0.500) (multiplicity 3)
S (0.500, 0.500, 0.500) (multiplicity 1)

Results
energy relative to the lowest polymorph listed for this composition	0.000	eV/atom
uncorrected formation energy	937	meV/atom
E	-3.547	eV per atom

=====

No. 2
VASP calculation (PBE-GGA) on a geometry-optimized KTl2Br structure.

a = 4.483 Å, b = 7.524 Å, c = 4.580 Å
α = 90.00°, β = 90.06°, γ = 90.00°
Space group P2/m (No. 10)
Asymmetric unit:
K (0.000, 0.000, 0.000) (multiplicity 1)
Tl (0.255, 0.500, 0.745) (multiplicity 2)
Br (0.500, 0.000, 0.500) (multiplicity 1)

Results
energy relative to the lowest polymorph listed for this composition	0.013	eV/atom
uncorrected formation energy	-602	meV/atom
E	-2.478	eV per atom

=====

No. 3
VASP calculation (PBE-GGA) on a geometry-optimized K2CaHgCl6 structure.

a = 7.4960 Å, b = 7.4960 Å, c = 18.4061 Å
α = 90.00°, β = 90.00°, γ = 120.00°
Space group R3 (No. 146, hexagonal axes)
Asymmetric unit:
K (0.0000, 0.0000, 0.0000) (multiplicity 3)
K (0.0000, 0.0000, 0.4968) (multiplicity 3)
Ca (0.0000, 0.0000, 0.7250) (multiplicity 3)
Hg (0.0000, 0.0000, 0.2257) (multiplicity 3)
Cl (0.0832, 0.3400, 0.3013) (multiplicity 9)
Cl (0.0855, 0.7411, 0.8019) (multiplicity 9)

Results
uncorrected formation energy	-1669	meV/atom
E	-3.227	eV per atom